[1]
Material: ZrScPtN2
Method: DFT, PBE-GGA
State: relaxed

Lattice parameters (Å, degrees): 4.0196 4.0196 7.1151 90.00 90.00 90.00
Space group P4/mmm (No. 123)
Symmetry-distinct sites (fractional):
Zr 0.0000 0.0000 0.0000
Sc 0.0000 0.0000 0.5000
Pt 0.5000 0.5000 0.5000
N 0.0000 0.5000 0.0000

Summary:
**Total moment**: 0.57 μB per cell
**Uncorrected formation energy**: 0.65 eV per atom
**Energy**: -6.865 eV/atom

---

[2]
Material: Ba3Ac2NpN6
Method: DFT, PBE-GGA
State: relaxed

Lattice parameters (Å, degrees): 6.6053 11.4611 6.7714 90.00 108.51 90.00
Space group C2/m (No. 12)
Symmetry-distinct sites (fractional):
Ba 0.0000 0.0000 0.0000
Ba 0.0000 0.3385 0.0000
Ac 0.0000 0.1662 0.5000
Np 0.0000 0.5000 0.5000
N 0.2004 0.3634 0.6861
N 0.2220 0.5000 0.2963

Summary:
**Total moment**: 1.28 μB per cell
**Uncorrected formation energy**: -0.87 eV per atom
**Energy**: -7.276 eV/atom

---

[3]
Material: Mn2OsW
Method: DFT, PBE-GGA
State: relaxed

Lattice parameters (Å, degrees): 8.8569 2.6933 4.5725 90.00 100.61 90.00
Space group Cm (No. 8)
Symmetry-distinct sites (fractional):
Mn 0.0000 0.0000 0.0000
Mn 0.2402 0.5000 0.2365
Os 0.4821 0.0000 0.4642
W 0.2428 0.0000 0.7436

Summary:
**Formation enthalpy at 0 K**: 2.99 kcal/mol of atoms
**Total moment**: 0.97 μB per cell
**Energy**: -10.501 eV/atom

---

[4]
Material: KLi2Y
Method: DFT, PBE-GGA
State: relaxed

Lattice parameters (Å, degrees): 3.6686 3.6686 9.6335 90.00 90.00 90.00
Space group P4mm (No. 99)
Symmetry-distinct sites (fractional):
K 0.0000 0.0000 0.0000
Li 0.0000 0.0000 0.4361
Li 0.5000 0.5000 0.3044
Y 0.5000 0.5000 0.6462

Summary:
**Formation enthalpy at 0 K**: 5.72 kcal/mol of atoms
**Total moment**: 0.20 μB per cell
**Energy**: -2.599 eV/atom